No. 1
Material: LiFe2Co2
Method: DFT, PBE
State: relaxed

Structure (POSCAR):
```
LiFe2Co2
1.0
6.939 0.000 0.000
0.000 6.939 0.000
0.000 0.000 2.571
Co Fe Li
4 4 2
Direct
0.357 0.857 0.000 Co
0.857 0.643 0.000 Co
0.643 0.143 0.000 Co
0.143 0.357 0.000 Co
0.153 0.653 0.500 Fe
0.653 0.847 0.500 Fe
0.847 0.347 0.500 Fe
0.347 0.153 0.500 Fe
0.000 0.000 0.000 Li
0.500 0.500 0.000 Li
```

Properties
As for the space-group type: No. 127. The value obtained for the energy relative to the lowest polymorph listed for this composition is 0 meV per atom.

=====

No. 2
Material: LiFeCo2
Method: DFT, PBE
State: relaxed

Structure (POSCAR):
```
LiFeCo2
1.0
-3.016 -2.077 -2.945
-3.862 -1.877 1.908
2.497 3.925 -0.662
Co Fe Li
2 1 1
Direct
0.992 0.992 0.000 Co
0.508 0.508 0.000 Co
0.750 0.250 0.500 Fe
0.250 0.750 0.500 Li
```

Properties
As for the space-group type: No. 71. The value obtained for the energy relative to the lowest polymorph listed for this composition is 54 meV per atom.

=====

No. 3
Material: LiFeCo2
Method: DFT, PBE
State: relaxed

Structure (POSCAR):
```
LiFeCo2
1.0
-2.797 -1.619 3.417
1.973 -3.227 -2.795
1.644 -0.926 1.502
Co Fe Li
2 1 1
Direct
0.000 0.000 0.000 Co
0.500 0.500 0.000 Co
0.500 0.000 0.500 Fe
0.000 0.500 0.500 Li
```

Properties
As for the space-group type: No. 12. The value obtained for the energy relative to the lowest polymorph listed for this composition is 31 meV per atom.

=====

No. 4
Material: Li2FeCo
Method: DFT, PBE
State: relaxed

Structure (POSCAR):
```
Li2FeCo
1.0
-1.378 0.405 -1.964
-1.234 -0.326 2.072
0.326 8.734 1.571
Co Fe Li
1 1 2
Direct
0.500 0.500 0.250 Co
0.500 0.500 0.750 Fe
0.000 0.000 0.005 Li
0.000 0.000 0.495 Li
```

Properties
As for the space-group type: No. 65. The value obtained for the energy relative to the lowest polymorph listed for this composition is 53 meV per atom.

=====

Fermi-level density of states, respectively: 5.95 2.74 3.19 3.19 states/eV/cell.
ΔH_f (0 K), respectively: 0.13 0.13 0.11 0.20 eV/atom.
Magnetic moment, respectively: 1.557 1.400 1.396 0.858 μB/atom.